A:
Computed, not measured: crystalline CoCuNF2 at its relaxed geometry at the PBE with a Hubbard U level of DFT.

Calculated values
As for the density of states at the Fermi level: 1.50 states/eV/cell. The calculation puts the density at 5.1 g cm⁻³.

```
data_CoCuNF2
_symmetry_space_group_name_H-M 'P 4/m m m'
_symmetry_Int_Tables_number 123
_symmetry_space_group_name_Hall '-P 4 2'
_cell_length_a 4.0525
_cell_length_b 4.0525
_cell_length_c 3.4657
_cell_angle_alpha 90.00
_cell_angle_beta 90.00
_cell_angle_gamma 90.00
loop_
_atom_site_label
_atom_site_type_symbol
_atom_site_fract_x
_atom_site_fract_y
_atom_site_fract_z
Co1 Co 0.0000 0.0000 0.0000
Cu1 Cu 0.5000 0.5000 0.5000
N1 N 0.0000 0.0000 0.5000
F1 F 0.0000 0.5000 0.0000
```



B:
Computed, not measured: crystalline CoCuNF2 at its relaxed geometry at the PBE with a Hubbard U level of DFT.

Calculated values
As for the density of states at the Fermi level: 2.94 states/eV/cell. The calculation puts the density at 5.0 g cm⁻³.

```
data_CoCuNF2
_symmetry_space_group_name_H-M 'P 4/m m m'
_symmetry_Int_Tables_number 123
_symmetry_space_group_name_Hall '-P 4 2'
_cell_length_a 3.7780
_cell_length_b 3.7780
_cell_length_c 4.0244
_cell_angle_alpha 90.00
_cell_angle_beta 90.00
_cell_angle_gamma 90.00
loop_
_atom_site_label
_atom_site_type_symbol
_atom_site_fract_x
_atom_site_fract_y
_atom_site_fract_z
Co1 Co 0.0000 0.0000 0.0000
Cu1 Cu 0.5000 0.5000 0.5000
N1 N 0.5000 0.5000 0.0000
F1 F 0.0000 0.5000 0.5000
```



Short version: A is the most stable of them.